[1]
Material: Y2ScAu
Method: DFT, PBEsol
State: optimized geometry

Results
The value obtained for the mass density is 7058 kg/m³. Its formation energy is -0.4268 eV/atom. The total DFT energy (no corrections) is -6.470 eV/atom.

Cell: 3.5732 5.0847 10.8706 Å, 90.00 90.00 90.00°
With the nearest neighbours (Å) after each atom.
Space group Imm2 (No. 44)
Unique sites:
Y1 0.0000 0.0000 0.0000 (multiplicity 2)  2 Au 3.03, 4 Sc 3.22
Y2 0.0000 0.5000 0.2125 (multiplicity 2)  4 Au 3.11, 2 Sc 3.41, 2 Y 3.44
Sc1 0.0000 0.0000 0.4213 (multiplicity 2)  2 Au 2.79
Au1 0.0000 0.5000 0.7247 (multiplicity 2)  2 Sc 2.79, 6 Y 3.03-3.11

=====

[2]
Material: YScAu
Method: DFT, PBEsol
State: optimized geometry

Results
The offset from the most stable computed form comes out at 0 meV/atom. The value obtained for the mass density is 7349 kg/m³. Its formation energy is -0.3187 eV/atom. The total DFT energy (no corrections) is -6.102 eV/atom.

Cell: 3.5999 3.5999 6.6604 Å, 90.00 90.00 120.00°
With the nearest neighbours (Å) after each atom.
Space group P3m1 (No. 156)
Unique sites:
Y1 0.0000 0.0000 0.0000 (multiplicity 1)  3 Au 2.94
Sc1 0.6667 0.3333 0.4205 (multiplicity 1)  3 Au 2.74
Au1 0.3333 0.6667 0.6875 (multiplicity 1)  3 Sc 2.74, 3 Y 2.94

=====

[3]
Material: YSc2Au2
Method: DFT, PBEsol
State: optimized geometry

Results
The value obtained for the mass density is 8908 kg/m³. Its formation energy is -0.6736 eV/atom. The total DFT energy (no corrections) is -6.250 eV/atom.

Cell: 7.7912 7.7912 3.5175 Å, 90.00 90.00 90.00°
With the nearest neighbours (Å) after each atom.
Space group P4/mbm (No. 127)
Unique sites:
Y1 0.0000 0.0000 0.0000 (multiplicity 2)  4 Au 3.04
Sc1 0.1607 0.3393 0.5000 (multiplicity 4)  6 Au 2.88-2.89
Au1 0.1324 0.6324 0.0000 (multiplicity 4)  6 Sc 2.88-2.89, 1 Au 2.92, 2 Y 3.04

=====

[4]
Material: ScZnAu
Method: DFT, PBEsol
State: optimized geometry

Results
The value obtained for the mass density is 9906 kg/m³. Its formation energy is -0.5577 eV/atom. The total DFT energy (no corrections) is -4.595 eV/atom.

Cell: 3.4588 3.4588 8.6122 Å, 90.00 90.00 90.00°
With the nearest neighbours (Å) after each atom.
Space group I4mm (No. 107)
Unique sites:
Sc1 0.0000 0.0000 0.0000 (multiplicity 2)  5 Zn 2.83-2.86, 5 Au 2.83-2.86
Zn1 0.0000 0.0000 0.3286 (multiplicity 2)  5 Au 2.80-2.95, 5 Sc 2.83-2.86
Au1 0.0000 0.0000 0.6711 (multiplicity 2)  5 Zn 2.80-2.95, 5 Sc 2.83-2.86

=====

[5]
Material: ScZnAu
Method: DFT, PBEsol
State: optimized geometry

Results
The value obtained for the mass density is 9751 kg/m³. Its formation energy is -0.6110 eV/atom. The total DFT energy (no corrections) is -4.648 eV/atom.

Cell: 4.4090 4.4090 3.1090 Å, 90.00 90.00 120.00°
With the nearest neighbours (Å) after each atom.
Space group P-6m2 (No. 187)
Unique sites:
Sc1 0.0000 0.0000 0.0000 (multiplicity 1)  6 Zn 2.98, 6 Au 2.98, 2 Sc 3.11
Zn1 0.6667 0.3333 0.5000 (multiplicity 1)  3 Au 2.55
Au1 0.3333 0.6667 0.5000 (multiplicity 1)  3 Zn 2.55

=====

[6]
Material: ScZnAu
Method: DFT, PBEsol
State: optimized geometry

Results
The value obtained for the mass density is 8935 kg/m³. Its formation energy is -0.2990 eV/atom. The total DFT energy (no corrections) is -4.336 eV/atom.

Cell: 6.1134 6.1134 6.1134 Å, 90.00 90.00 90.00°
With the nearest neighbours (Å) after each atom.
Space group F-43m (No. 216)
Unique sites:
Sc1 0.0000 0.0000 0.0000 (multiplicity 4)  4 Zn 2.65
Zn1 0.2500 0.2500 0.7500 (multiplicity 4)  4 Sc 2.65, 4 Au 2.65
Au1 0.0000 0.0000 0.5000 (multiplicity 4)  4 Zn 2.65

=====

[7]
Material: ScZn2Au
Method: DFT, PBEsol
State: optimized geometry

Results
The value obtained for the mass density is 9338 kg/m³. Its formation energy is -0.4059 eV/atom. The total DFT energy (no corrections) is -3.829 eV/atom.

Cell: 3.9436 3.9436 4.2622 Å, 90.00 90.00 90.00°
With the nearest neighbours (Å) after each atom.
Space group P4/mmm (No. 123)
Unique sites:
Sc1 0.0000 0.0000 0.0000 (multiplicity 1)  4 Au 2.79, 8 Zn 2.90
Zn1 0.0000 0.5000 0.5000 (multiplicity 2)  4 Zn 2.79, 4 Sc 2.90, 4 Au 2.90
Au1 0.5000 0.5000 0.0000 (multiplicity 1)  4 Sc 2.79, 8 Zn 2.90

=====

[8]
Material: ScZn2Au
Method: DFT, PBEsol
State: optimized geometry

Results
The value obtained for the mass density is 9848 kg/m³. Its formation energy is -0.4916 eV/atom. The total DFT energy (no corrections) is -3.915 eV/atom.

Cell: 6.3113 6.3113 6.3113 Å, 90.00 90.00 90.00°
With the nearest neighbours (Å) after each atom.
Space group Fm-3m (No. 225)
Unique sites:
Sc1 0.0000 0.0000 0.0000 (multiplicity 4)  8 Zn 2.73
Zn1 0.2500 0.2500 0.2500 (multiplicity 8)  4 Sc 2.73, 4 Au 2.73
Au1 0.0000 0.0000 0.5000 (multiplicity 4)  8 Zn 2.73

=====

[9]
Material: ScZn2Au
Method: DFT, PBEsol
State: optimized geometry

Results
The value obtained for the mass density is 9578 kg/m³. Its formation energy is -0.4899 eV/atom. The total DFT energy (no corrections) is -3.913 eV/atom.

Cell: 4.4776 4.4776 6.4467 Å, 90.00 90.00 90.00°
With the nearest neighbours (Å) after each atom.
Space group I-4m2 (No. 119)
Unique sites:
Sc1 0.0000 0.0000 0.0000 (multiplicity 2)  4 Zn 2.76, 4 Au 2.76
Zn1 0.0000 0.0000 0.5000 (multiplicity 2)  4 Zn 2.76, 4 Au 2.76
Zn2 0.0000 0.5000 0.2500 (multiplicity 2)  4 Sc 2.76, 4 Zn 2.76
Au1 0.0000 0.5000 0.7500 (multiplicity 2)  4 Sc 2.76, 4 Zn 2.76

=====

[10]
Material: ZrSc2Au2
Method: DFT, PBEsol
State: optimized geometry

Results
The value obtained for the mass density is 9552 kg/m³. Its formation energy is -0.6055 eV/atom. The total DFT energy (no corrections) is -6.635 eV/atom.

Cell: 7.7089 7.7089 3.3643 Å, 90.00 90.00 90.00°
With the nearest neighbours (Å) after each atom.
Space group P4/mbm (No. 127)
Unique sites:
Zr1 0.0000 0.0000 0.0000 (multiplicity 2)  4 Au 3.01, 8 Sc 3.33, 2 Zr 3.36
Sc1 0.1649 0.3351 0.5000 (multiplicity 4)  6 Au 2.78-2.85
Au1 0.1325 0.6325 0.0000 (multiplicity 4)  6 Sc 2.78-2.85, 1 Au 2.89, 2 Zr 3.01

=====

[11]
Material: Zr3ScAu
Method: DFT, PBEsol
State: optimized geometry

Results
The offset from the most stable computed form comes out at 510 meV/atom. The value obtained for the mass density is 7501 kg/m³. Its formation energy is 1.0545 eV/atom. The total DFT energy (no corrections) is -6.505 eV/atom.

Cell: 4.8509 4.8509 4.8509 Å, 90.00 90.00 90.00°
With the nearest neighbours (Å) after each atom.
Space group Pm-3m (No. 221)
Unique sites:
Zr1 0.0000 0.0000 0.5000 (multiplicity 3)  2 Sc 2.43
Sc1 0.0000 0.0000 0.0000 (multiplicity 1)  6 Zr 2.43
Au1 0.5000 0.5000 0.5000 (multiplicity 1)  12 Zr 3.43

=====

[12]
Material: ZrSc2Au
Method: DFT, PBEsol
State: optimized geometry

Results
The offset from the most stable computed form comes out at 0 meV/atom. The value obtained for the mass density is 7824 kg/m³. Its formation energy is -0.3226 eV/atom. The total DFT energy (no corrections) is -6.879 eV/atom.

Cell: 4.3465 4.3465 4.2478 Å, 90.00 90.00 90.00°
With the nearest neighbours (Å) after each atom.
Space group P4/mmm (No. 123)
Unique sites:
Zr1 0.0000 0.0000 0.0000 (multiplicity 1)  8 Sc 3.04, 4 Au 3.07
Sc1 0.0000 0.5000 0.5000 (multiplicity 2)  4 Zr 3.04, 4 Au 3.04, 4 Sc 3.07
Au1 0.5000 0.5000 0.0000 (multiplicity 1)  8 Sc 3.04, 4 Zr 3.07

=====

[13]
Material: ZrScAu
Method: DFT, PBEsol
State: optimized geometry

Results
The value obtained for the mass density is 9107 kg/m³. Its formation energy is -0.2611 eV/atom. The total DFT energy (no corrections) is -6.801 eV/atom.

Cell: 4.6350 4.6350 3.2649 Å, 90.00 90.00 120.00°
With the nearest neighbours (Å) after each atom.
Space group P3m1 (No. 156)
Unique sites:
Zr1 0.0000 0.0000 0.0000 (multiplicity 1)  3 Au 2.81, 3 Sc 3.03
Sc1 0.3333 0.6667 0.5665 (multiplicity 1)  3 Au 2.86, 3 Zr 3.03
Au1 0.6667 0.3333 0.2594 (multiplicity 1)  3 Zr 2.81, 3 Sc 2.86

=====

[14]
Material: Zr3ScAu
Method: DFT, PBEsol
State: optimized geometry

Results
The offset from the most stable computed form comes out at 0 meV/atom. The value obtained for the mass density is 6369 kg/m³. Its formation energy is 0.5444 eV/atom. The total DFT energy (no corrections) is -7.015 eV/atom.

Cell: 5.1225 5.1225 5.1225 Å, 90.00 90.00 90.00°
With the nearest neighbours (Å) after each atom.
Space group Pm-3m (No. 221)
Unique sites:
Zr1 0.0000 0.0000 0.5000 (multiplicity 3)  2 Au 2.56
Sc1 0.5000 0.5000 0.5000 (multiplicity 1)  12 Zr 3.62
Au1 0.0000 0.0000 0.0000 (multiplicity 1)  6 Zr 2.56

=====

[15]
Material: ZrSc2Au
Method: DFT, PBEsol
State: optimized geometry

Results
The offset from the most stable computed form comes out at 106 meV/atom. The value obtained for the mass density is 7388 kg/m³. Its formation energy is -0.2162 eV/atom. The total DFT energy (no corrections) is -6.772 eV/atom.

Cell: 3.2373 3.2373 28.0905 Å, 90.00 90.00 120.00°
With the nearest neighbours (Å) after each atom.
Space group R-3m (No. 166, hexagonal axes)
Unique sites:
Zr1 0.0000 0.0000 0.0000 (multiplicity 3)  6 Sc 3.14, 6 Zr 3.24
Sc1 0.0000 0.0000 0.2435 (multiplicity 6)  3 Au 2.86, 3 Zr 3.14
Au1 0.0000 0.0000 0.5000 (multiplicity 3)  6 Sc 2.86

=====

[16]
Material: ZrSc2Au
Method: DFT, PBEsol
State: optimized geometry

Results
The offset from the most stable computed form comes out at 4 meV/atom. The value obtained for the mass density is 7602 kg/m³. Its formation energy is -0.3190 eV/atom. The total DFT energy (no corrections) is -6.875 eV/atom.

Cell: 3.4992 4.7666 9.9036 Å, 90.00 90.00 90.00°
With the nearest neighbours (Å) after each atom.
Space group Immm (No. 71)
Unique sites:
Zr1 0.0000 0.0000 0.0000 (multiplicity 2)  4 Au 2.96, 8 Sc 3.22-3.27
Sc1 0.0000 0.5000 0.2267 (multiplicity 4)  2 Au 2.85, 4 Sc 2.99
Au1 0.0000 0.0000 0.5000 (multiplicity 2)  4 Sc 2.85, 4 Zr 2.96

=====

[17]
Material: Au3Se
Method: DFT, PBEsol
State: optimized geometry

Results
The value obtained for the mass density is 15574 kg/m³. The total DFT energy (no corrections) is -3.614 eV/atom.

Cell: 6.5862 6.5862 6.5862 Å, 90.00 90.00 90.00°
With the nearest neighbours (Å) after each atom.
Space group Fm-3m (No. 225)
Unique sites:
Au1 0.0000 0.0000 0.0000 (multiplicity 4)  8 Au 2.85
Au2 0.2500 0.2500 0.2500 (multiplicity 8)  4 Se 2.85, 4 Au 2.85
Se1 0.0000 0.0000 0.5000 (multiplicity 4)  8 Au 2.85

=====

[18]
Material: Au3Se
Method: DFT, PBEsol
State: optimized geometry

Results
The value obtained for the mass density is 15730 kg/m³. The total DFT energy (no corrections) is -3.705 eV/atom.

Cell: 2.8633 4.2689 5.7851 Å, 90.00 90.00 90.00°
With the nearest neighbours (Å) after each atom.
Space group Pmmm (No. 47)
Unique sites:
Au1 0.0000 0.0000 0.0000 (multiplicity 1)  10 Au 2.86-2.93, 2 Se 2.89
Au2 0.5000 0.5000 0.2449 (multiplicity 2)  8 Au 2.83-2.95, 4 Se 2.96
Se1 0.0000 0.0000 0.5000 (multiplicity 1)  2 Se 2.86, 10 Au 2.89-2.96

=====

[19]
Material: AuSe2
Method: DFT, PBEsol
State: optimized geometry

Results
The value obtained for the mass density is 8702 kg/m³. The total DFT energy (no corrections) is -3.836 eV/atom.

Cell: 5.1881 6.5079 4.0116 Å, 90.00 90.00 90.00°
With the nearest neighbours (Å) after each atom.
Space group Pnnm (No. 58)
Unique sites:
Au1 0.0000 0.0000 0.0000 (multiplicity 2)  6 Se 2.67-2.74
Se1 0.1856 0.3946 0.0000 (multiplicity 4)  1 Se 2.36

=====

[20]
Material: AuSe2
Method: DFT, PBEsol
State: optimized geometry

Results
The value obtained for the mass density is 8675 kg/m³. The total DFT energy (no corrections) is -3.515 eV/atom.

Cell: 5.0074 5.0074 2.7092 Å, 90.00 90.00 90.00°
With the nearest neighbours (Å) after each atom.
Space group P4/mmm (No. 123)
Unique sites:
Au1 0.0000 0.0000 0.0000 (multiplicity 1)  2 Au 2.71, 8 Se 2.85
Se1 0.0000 0.5000 0.5000 (multiplicity 2)  2 Se 2.71, 4 Au 2.85